1 | Computed, not measured: crystalline Sb4OsAu at its relaxed geometry at the PBE level of DFT. Values from VASP.

Quantum ESPRESSO input file:
```
&SYSTEM
  ibrav = 0, nat = 12, ntyp = 3
/
ATOMIC_SPECIES
Sb 121.76 Sb.upf
Os 190.23 Os.upf
Au 196.97 Au.upf
CELL_PARAMETERS angstrom
6.597 0.000 0.000
0.000 6.637 0.000
-0.371 0.000 6.689
ATOMIC_POSITIONS crystal
Sb 0.091 0.137 0.144
Sb 0.091 0.363 0.644
Sb 0.368 0.623 0.112
Sb 0.368 0.877 0.612
Sb 0.632 0.123 0.388
Sb 0.632 0.377 0.888
Sb 0.909 0.637 0.356
Sb 0.909 0.863 0.856
Os 0.000 0.000 0.500
Os 0.000 0.500 0.000
Au 0.500 0.000 0.000
Au 0.500 0.500 0.500
```

Summary:
**M_tot**: 0.000 μB/f.u.
**Space group**: No. 14
**ρ**: 9.91 g/cm3


2 | Computed, not measured: crystalline Sb4OsAu at its relaxed geometry at the PBE level of DFT. Values from VASP.

Quantum ESPRESSO input file:
```
&SYSTEM
  ibrav = 0, nat = 6, ntyp = 3
/
ATOMIC_SPECIES
Sb 121.76 Sb.upf
Os 190.23 Os.upf
Au 196.97 Au.upf
CELL_PARAMETERS angstrom
0.000 4.239 4.239
4.239 0.000 4.239
4.239 4.239 0.000
ATOMIC_POSITIONS crystal
Sb 0.125 0.125 0.125
Sb 0.125 0.125 0.625
Sb 0.125 0.625 0.125
Sb 0.625 0.125 0.125
Os 0.500 0.500 0.500
Au 0.750 0.750 0.750
```

Summary:
**M_tot**: 2.045 μB/f.u.
**Space group**: No. 216
**ρ**: 9.53 g/cm3


Question: which arrangement is favored energetically? Ranking from most to least stable: 1, 2.


1 | Computed, not measured: crystalline Sc3OsAu at its relaxed geometry at the PBE level of DFT. Values from VASP.

Quantum ESPRESSO input file:
```
&SYSTEM
  ibrav = 0, nat = 5, ntyp = 3
/
ATOMIC_SPECIES
Sc 44.96 Sc.upf
Os 190.23 Os.upf
Au 196.97 Au.upf
CELL_PARAMETERS angstrom
4.981 0.000 0.000
0.000 4.981 0.000
0.000 0.000 4.981
ATOMIC_POSITIONS crystal
Sc 0.000 0.000 0.500
Sc 0.000 0.500 0.000
Sc 0.500 0.000 0.000
Os 0.000 0.000 0.000
Au 0.500 0.500 0.500
```

Summary:
**M_tot**: 0.000 μB/f.u.
**Space group**: No. 221
**ρ**: 7.01 g/cm3


2 | Computed, not measured: crystalline Sc3OsAu at its relaxed geometry at the PBE level of DFT. Values from VASP.

Quantum ESPRESSO input file:
```
&SYSTEM
  ibrav = 0, nat = 5, ntyp = 3
/
ATOMIC_SPECIES
Sc 44.96 Sc.upf
Os 190.23 Os.upf
Au 196.97 Au.upf
CELL_PARAMETERS angstrom
4.991 0.000 0.000
0.000 4.991 0.000
0.000 0.000 4.991
ATOMIC_POSITIONS crystal
Sc 0.000 0.000 0.500
Sc 0.000 0.500 0.000
Sc 0.500 0.000 0.000
Os 0.500 0.500 0.500
Au 0.000 0.000 0.000
```

Summary:
**M_tot**: 0.000 μB/f.u.
**Space group**: No. 221
**ρ**: 6.97 g/cm3


Question: which arrangement is favored energetically? Ranking from most to least stable: 1, 2.


1 | Computed, not measured: crystalline Os3AuSe at its relaxed geometry at the PBE level of DFT. Values from VASP.

Quantum ESPRESSO input file:
```
&SYSTEM
  ibrav = 0, nat = 5, ntyp = 3
/
ATOMIC_SPECIES
Os 190.23 Os.upf
Au 196.97 Au.upf
Se 78.96 Se.upf
CELL_PARAMETERS angstrom
4.920 0.000 0.000
0.000 4.920 0.000
0.000 0.000 4.920
ATOMIC_POSITIONS crystal
Os 0.000 0.000 0.500
Os 0.000 0.500 0.000
Os 0.500 0.000 0.000
Au 0.000 0.000 0.000
Se 0.500 0.500 0.500
```

Summary:
**M_tot**: 7.620 μB/f.u.
**Space group**: No. 221
**ρ**: 11.80 g/cm3


2 | Computed, not measured: crystalline Os3AuSe at its relaxed geometry at the PBE level of DFT. Values from VASP.

Quantum ESPRESSO input file:
```
&SYSTEM
  ibrav = 0, nat = 5, ntyp = 3
/
ATOMIC_SPECIES
Os 190.23 Os.upf
Au 196.97 Au.upf
Se 78.96 Se.upf
CELL_PARAMETERS angstrom
4.535 0.000 0.000
0.000 4.535 0.000
0.000 0.000 4.535
ATOMIC_POSITIONS crystal
Os 0.000 0.000 0.500
Os 0.000 0.500 0.000
Os 0.500 0.000 0.000
Au 0.500 0.500 0.500
Se 0.000 0.000 0.000
```

Summary:
**M_tot**: 1.935 μB/f.u.
**Space group**: No. 221
**ρ**: 15.07 g/cm3


Question: which arrangement is favored energetically? Ranking from most to least stable: 2, 1.


1 | Computed, not measured: crystalline Si2OsAu at its relaxed geometry at the PBE level of DFT. Values from VASP.

Quantum ESPRESSO input file:
```
&SYSTEM
  ibrav = 0, nat = 4, ntyp = 3
/
ATOMIC_SPECIES
Si 28.09 Si.upf
Os 190.23 Os.upf
Au 196.97 Au.upf
CELL_PARAMETERS angstrom
-2.018 2.018 3.587
2.018 -2.018 3.587
2.018 2.018 -3.587
ATOMIC_POSITIONS crystal
Si 0.250 0.750 0.500
Si 0.750 0.250 0.500
Os 0.000 0.000 0.000
Au 0.500 0.500 0.000
```

Summary:
**M_tot**: 0.000 μB/f.u.
**Space group**: No. 139
**ρ**: 12.60 g/cm3


2 | Computed, not measured: crystalline Si2OsAu at its relaxed geometry at the PBE level of DFT. Values from VASP.

Quantum ESPRESSO input file:
```
&SYSTEM
  ibrav = 0, nat = 4, ntyp = 3
/
ATOMIC_SPECIES
Si 28.09 Si.upf
Os 190.23 Os.upf
Au 196.97 Au.upf
CELL_PARAMETERS angstrom
2.986 0.000 0.000
0.000 2.986 0.000
0.000 0.000 6.723
ATOMIC_POSITIONS crystal
Si 0.000 0.000 0.218
Si 0.000 0.000 0.782
Os 0.500 0.500 0.000
Au 0.500 0.500 0.500
```

Summary:
**M_tot**: 0.000 μB/f.u.
**Space group**: No. 123
**ρ**: 12.28 g/cm3


3 | Computed, not measured: crystalline Si2OsAu at its relaxed geometry at the PBE level of DFT. Values from VASP.

Quantum ESPRESSO input file:
```
&SYSTEM
  ibrav = 0, nat = 4, ntyp = 3
/
ATOMIC_SPECIES
Si 28.09 Si.upf
Os 190.23 Os.upf
Au 196.97 Au.upf
CELL_PARAMETERS angstrom
3.114 0.000 0.000
0.000 4.448 0.000
0.000 0.000 4.313
ATOMIC_POSITIONS crystal
Si 0.000 0.000 0.000
Si 0.500 0.500 0.207
Os 0.500 0.000 0.435
Au 0.000 0.500 0.725
```

Summary:
**M_tot**: 0.000 μB/f.u.
**Space group**: No. 25
**ρ**: 12.32 g/cm3


4 | Computed, not measured: crystalline Si2OsAu at its relaxed geometry at the PBE level of DFT. Values from VASP.

Quantum ESPRESSO input file:
```
&SYSTEM
  ibrav = 0, nat = 4, ntyp = 3
/
ATOMIC_SPECIES
Si 28.09 Si.upf
Os 190.23 Os.upf
Au 196.97 Au.upf
CELL_PARAMETERS angstrom
-1.876 1.876 4.175
1.876 -1.876 4.175
1.876 1.876 -4.175
ATOMIC_POSITIONS crystal
Si 0.000 0.000 0.000
Si 0.750 0.250 0.500
Os 0.500 0.500 0.000
Au 0.250 0.750 0.500
```

Summary:
**M_tot**: 0.000 μB/f.u.
**Space group**: No. 119
**ρ**: 12.53 g/cm3


Question: which arrangement is favored energetically? Ranking from most to least stable: 3, 2, 1, 4.


1 | Computed, not measured: crystalline Si2OsAu at its relaxed geometry at the PBE level of DFT. Values from VASP.

Quantum ESPRESSO input file:
```
&SYSTEM
  ibrav = 0, nat = 4, ntyp = 3
/
ATOMIC_SPECIES
Si 28.09 Si.upf
Os 190.23 Os.upf
Au 196.97 Au.upf
CELL_PARAMETERS angstrom
2.752 -4.082 0.000
2.752 4.082 0.000
-0.992 0.000 2.959
ATOMIC_POSITIONS crystal
Si 0.000 0.500 0.000
Si 0.500 0.000 0.000
Os 0.000 0.000 0.000
Au 0.500 0.500 0.000
```

Summary:
**M_tot**: 0.000 μB/f.u.
**Space group**: No. 12
**ρ**: 11.08 g/cm3


2 | Computed, not measured: crystalline Si2OsAu at its relaxed geometry at the PBE level of DFT. Values from VASP.

Quantum ESPRESSO input file:
```
&SYSTEM
  ibrav = 0, nat = 8, ntyp = 3
/
ATOMIC_SPECIES
Si 28.09 Si.upf
Os 190.23 Os.upf
Au 196.97 Au.upf
CELL_PARAMETERS angstrom
-2.754 2.754 5.488
2.754 -2.754 5.488
2.754 2.754 -5.488
ATOMIC_POSITIONS crystal
Si 0.098 0.625 0.973
Si 0.375 0.348 0.473
Si 0.652 0.125 0.027
Si 0.875 0.902 0.527
Os 0.000 0.000 0.000
Os 0.750 0.250 0.500
Au 0.250 0.750 0.500
Au 0.500 0.500 0.000
```

Summary:
**M_tot**: 0.000 μB/f.u.
**Space group**: No. 122
**ρ**: 8.84 g/cm3


Question: which arrangement is favored energetically? Ranking from most to least stable: 2, 1.